Record 1
DFT (PBE) results for an optimized crystal structure of Ca3InHg.

The space group is Pm-3m (No. 221) and the conventional cell measures 5.816, 5.816 and 5.816 Å, with angles of 90.00, 90.00 and 90.00 degrees. The distinct sites, in fractional coordinates, are Ca at (0.000, 0.000, 0.500), In at (0.500, 0.500, 0.500) and Hg at (0.000, 0.000, 0.000).

The total energy comes out at -9.41 eV for the cell shown. For the energy above the lowest structure with this stoichiometry, the calculation gives 0.352 eV per atom.

Record 2
DFT (PBE) results for an optimized crystal structure of Ca2In2Hg.

The space group is I4/mmm (No. 139) and the conventional cell measures 4.945, 4.945 and 13.582 Å, with angles of 90.00, 90.00 and 90.00 degrees. The distinct sites, in fractional coordinates, are Ca at (0.000, 0.500, 0.250), In at (0.000, 0.000, 0.099) and Hg at (0.000, 0.000, 0.500).

The total energy comes out at -19.32 eV for the cell shown. For the energy above the lowest structure with this stoichiometry, the calculation gives 0.451 eV per atom.

Record 3
DFT (PBE) results for an optimized crystal structure of CaIn6Hg6.

The space group is Cmmm (No. 65) and the conventional cell measures 6.464, 11.227 and 9.864 Å, with angles of 90.00, 90.00 and 90.00 degrees. The distinct sites, in fractional coordinates, are Ca at (0.000, 0.000, 0.000), In at (0.000, 0.500, 0.250), In at (0.250, 0.250, 0.250), Hg at (0.000, 0.000, 0.347), Hg at (0.000, 0.333, 0.500) and Hg at (0.000, 0.334, 0.000).

The total energy comes out at -41.60 eV for the cell shown.

Record 4
DFT (PBE) results for an optimized crystal structure of Ca4In3Hg.

The space group is P4/mmm (No. 123) and the conventional cell measures 3.847, 3.847 and 15.332 Å, with angles of 90.00, 90.00 and 90.00 degrees. The distinct sites, in fractional coordinates, are Ca at (0.000, 0.000, 0.121), Ca at (0.000, 0.000, 0.375), In at (0.500, 0.500, 0.250), In at (0.500, 0.500, 0.500) and Hg at (0.500, 0.500, 0.000).

The total energy comes out at -20.46 eV for the cell shown.

Record 5
DFT (PBE) results for an optimized crystal structure of Ca3InHg2.

The space group is P4/mmm (No. 123) and the conventional cell measures 3.832, 3.832 and 11.312 Å, with angles of 90.00, 90.00 and 90.00 degrees. The distinct sites, in fractional coordinates, are Ca at (0.000, 0.000, 0.000), Ca at (0.000, 0.000, 0.328), In at (0.500, 0.500, 0.500) and Hg at (0.500, 0.500, 0.169).

The total energy comes out at -12.52 eV for the cell shown. For the energy above the lowest structure with this stoichiometry, the calculation gives 0.004 eV per atom.

Record 6
DFT (PBE) results for an optimized crystal structure of Ca2In2Hg3.

The space group is I2_13 (No. 199) and the conventional cell measures 9.296, 9.296 and 9.296 Å, with angles of 90.00, 90.00 and 90.00 degrees. The distinct sites, in fractional coordinates, are Ca at (0.009, 0.009, 0.009), In at (0.186, 0.314, 0.686) and Hg at (0.000, 0.250, 0.265).

The total energy comes out at -48.58 eV for the cell shown. For the energy above the lowest structure with this stoichiometry, the calculation gives 0.087 eV per atom.

Record 7
DFT (PBE) results for an optimized crystal structure of CaIn4Hg5.

The space group is I4 (No. 79) and the conventional cell measures 9.417, 9.417 and 6.294 Å, with angles of 90.00, 90.00 and 90.00 degrees. The distinct sites, in fractional coordinates, are Ca at (0.000, 0.000, 0.000), In at (0.100, 0.700, 0.287), Hg at (0.000, 0.000, 0.499) and Hg at (0.097, 0.705, 0.783).

The total energy comes out at -30.84 eV for the cell shown. For the energy above the lowest structure with this stoichiometry, the calculation gives 0.030 eV per atom.

Record 8
DFT (PBE) results for an optimized crystal structure of Ca2In3Hg3.

The space group is R3m (No. 160, hexagonal axes) and the conventional cell measures 5.2606, 5.2606 and 25.7437 Å, with angles of 90.00, 90.00 and 120.00 degrees. The distinct sites, in fractional coordinates, are Ca at (0.0000, 0.0000, 0.0000), Ca at (0.0000, 0.0000, 0.4925), In at (0.0000, 0.0000, 0.2480), In at (0.0000, 0.0000, 0.7454), In at (0.0000, 0.0000, 0.8723), Hg at (0.0000, 0.0000, 0.1233), Hg at (0.0000, 0.0000, 0.3705) and Hg at (0.0000, 0.0000, 0.6201).

The total energy comes out at -47.85 eV for the cell shown.

Record 9
DFT (PBE) results for an optimized crystal structure of CaIn5Hg2.

The space group is Immm (No. 71) and the conventional cell measures 4.484, 9.266 and 10.656 Å, with angles of 90.00, 90.00 and 90.00 degrees. The distinct sites, in fractional coordinates, are Ca at (0.000, 0.000, 0.000), In at (0.000, 0.186, 0.352), In at (0.000, 0.500, 0.000) and Hg at (0.000, 0.500, 0.292).

The total energy comes out at -34.44 eV for the cell shown. For the energy above the lowest structure with this stoichiometry, the calculation gives 0.038 eV per atom.

Record 10
DFT (PBE) results for an optimized crystal structure of CaIn3Hg2.

The space group is C2/m (No. 12) and the conventional cell measures 16.203, 5.006 and 9.265 Å, with angles of 90.00, 122.19 and 90.00 degrees. The distinct sites, in fractional coordinates, are Ca at (0.135, 0.000, 0.123), In at (0.011, 0.000, 0.342), In at (0.119, 0.500, 0.644), In at (0.245, 0.000, 0.580), Hg at (0.009, 0.500, 0.168) and Hg at (0.243, 0.000, 0.903).

The total energy comes out at -48.48 eV for the cell shown.

Record 11
DFT (PBE) results for an optimized crystal structure of CaInHg2.

The space group is P4mm (No. 99) and the conventional cell measures 3.856, 3.856 and 7.063 Å, with angles of 90.00, 90.00 and 90.00 degrees. The distinct sites, in fractional coordinates, are Ca at (0.000, 0.000, 0.000), In at (0.500, 0.500, 0.711), Hg at (0.000, 0.000, 0.489) and Hg at (0.500, 0.500, 0.242).

The total energy comes out at -6.46 eV for the cell shown.

Record 12
DFT (PBE) results for an optimized crystal structure of Ca4InHg.

The space group is F-43m (No. 216) and the conventional cell measures 9.506, 9.506 and 9.506 Å, with angles of 90.00, 90.00 and 90.00 degrees. The distinct sites, in fractional coordinates, are Ca at (0.125, 0.125, 0.125), In at (0.000, 0.000, 0.500) and Hg at (0.250, 0.250, 0.750).

The total energy comes out at -39.73 eV for the cell shown. For the energy above the lowest structure with this stoichiometry, the calculation gives 0.547 eV per atom.

Record 13
DFT (PBE) results for an optimized crystal structure of Ca2In2Hg.

The space group is I4/mmm (No. 139) and the conventional cell measures 4.141, 4.141 and 18.039 Å, with angles of 90.00, 90.00 and 90.00 degrees. The distinct sites, in fractional coordinates, are Ca at (0.000, 0.000, 0.097), In at (0.000, 0.500, 0.250) and Hg at (0.000, 0.000, 0.500).

The total energy comes out at -21.91 eV for the cell shown. For the energy above the lowest structure with this stoichiometry, the calculation gives 0.192 eV per atom.

Record 14
DFT (PBE) results for an optimized crystal structure of Ca2In2Hg7.

The space group is Cmmm (No. 65) and the conventional cell measures 9.998, 10.962 and 6.198 Å, with angles of 90.00, 90.00 and 90.00 degrees. The distinct sites, in fractional coordinates, are Ca at (0.193, 0.000, 0.000), In at (0.000, 0.263, 0.500), Hg at (0.000, 0.000, 0.500), Hg at (0.000, 0.500, 0.237) and Hg at (0.250, 0.250, 0.241).

The total energy comes out at -24.93 eV for the cell shown.

Record 15
DFT (PBE) results for an optimized crystal structure of Ca2In2Hg.

The space group is P4/mbm (No. 127) and the conventional cell measures 8.866, 8.866 and 3.974 Å, with angles of 90.00, 90.00 and 90.00 degrees. The distinct sites, in fractional coordinates, are Ca at (0.177, 0.323, 0.000), In at (0.120, 0.620, 0.500) and Hg at (0.000, 0.000, 0.000).

The total energy comes out at -22.21 eV for the cell shown. For the energy above the lowest structure with this stoichiometry, the calculation gives 0.161 eV per atom.

Record 16
DFT (PBE) results for an optimized crystal structure of CaIn5Hg8.

The space group is I-4 (No. 82) and the conventional cell measures 9.094, 9.094 and 9.149 Å, with angles of 90.00, 90.00 and 90.00 degrees. The distinct sites, in fractional coordinates, are Ca at (0.000, 0.000, 0.000), In at (0.000, 0.500, 0.750), In at (0.144, 0.755, 0.375), Hg at (0.075, 0.658, 0.058) and Hg at (0.080, 0.831, 0.696).

The total energy comes out at -38.54 eV for the cell shown. For the energy above the lowest structure with this stoichiometry, the calculation gives 0.000 eV per atom.

Record 17
DFT (PBE) results for an optimized crystal structure of Ca3InHg4.

The space group is Immm (No. 71) and the conventional cell measures 3.961, 7.832 and 14.978 Å, with angles of 90.00, 90.00 and 90.00 degrees. The distinct sites, in fractional coordinates, are Ca at (0.000, 0.000, 0.000), Ca at (0.000, 0.500, 0.184), In at (0.000, 0.000, 0.500) and Hg at (0.000, 0.302, 0.365).

The total energy comes out at -25.96 eV for the cell shown. For the energy above the lowest structure with this stoichiometry, the calculation gives 0.093 eV per atom.

Record 18
DFT (PBE) results for an optimized crystal structure of Ca2InHg.

The space group is P4/mmm (No. 123) and the conventional cell measures 3.823, 3.823 and 7.670 Å, with angles of 90.00, 90.00 and 90.00 degrees. The distinct sites, in fractional coordinates, are Ca at (0.000, 0.000, 0.243), In at (0.500, 0.500, 0.500) and Hg at (0.500, 0.500, 0.000).

The total energy comes out at -9.12 eV for the cell shown.

Record 19
DFT (PBE) results for an optimized crystal structure of CaIn2Hg.

The space group is Pm (No. 6) and the conventional cell measures 3.418, 5.080 and 6.214 Å, with angles of 90.00, 90.05 and 90.00 degrees. The distinct sites, in fractional coordinates, are Ca at (0.000, 0.000, 0.000), In at (0.499, 0.500, 0.751), In at (0.502, 0.000, 0.492) and Hg at (0.501, 0.500, 0.229).

The total energy comes out at -8.90 eV for the cell shown.

Record 20
DFT (PBE) results for an optimized crystal structure of Ca6In2Hg.

The space group is Pnnm (No. 58) and the conventional cell measures 10.309, 10.316 and 5.431 Å, with angles of 90.00, 90.00 and 90.00 degrees. The distinct sites, in fractional coordinates, are Ca at (0.032, 0.192, 0.000), Ca at (0.121, 0.620, 0.500), Ca at (0.192, 0.968, 0.500), In at (0.209, 0.291, 0.500) and Hg at (0.000, 0.500, 0.000).

The total energy comes out at -42.19 eV for the cell shown.

Record 21
DFT (PBE) results for an optimized crystal structure of Ca4InHg15.

The space group is P4/mmm (No. 123) and the conventional cell measures 4.759, 4.759 and 22.800 Å, with angles of 90.00, 90.00 and 90.00 degrees. The distinct sites, in fractional coordinates, are Ca at (0.000, 0.000, 0.101), Ca at (0.000, 0.000, 0.306), In at (0.000, 0.000, 0.500), Hg at (0.000, 0.500, 0.000), Hg at (0.000, 0.500, 0.203), Hg at (0.000, 0.500, 0.403), Hg at (0.500, 0.500, 0.099), Hg at (0.500, 0.500, 0.304) and Hg at (0.500, 0.500, 0.500).

The total energy comes out at -21.37 eV for the cell shown.

Record 22
DFT (PBE) results for an optimized crystal structure of CaIn2Hg.

The space group is C2/m (No. 12) and the conventional cell measures 11.535, 4.301 and 4.749 Å, with angles of 90.00, 114.08 and 90.00 degrees. The distinct sites, in fractional coordinates, are Ca at (0.000, 0.000, 0.000), In at (0.241, 0.000, 0.741) and Hg at (0.000, 0.500, 0.500).

The total energy comes out at -17.93 eV for the cell shown.

Record 23
DFT (PBE) results for an optimized crystal structure of Ca4InHg.

The space group is C2/c (No. 15) and the conventional cell measures 9.800, 14.525 and 6.733 Å, with angles of 90.00, 120.04 and 90.00 degrees. The distinct sites, in fractional coordinates, are Ca at (0.124, 0.180, 0.086), Ca at (0.198, 0.437, 0.283), In at (0.000, 0.366, 0.750) and Hg at (0.000, 0.002, 0.250).

The total energy comes out at -52.11 eV for the cell shown. For the energy above the lowest structure with this stoichiometry, the calculation gives 0.031 eV per atom.

| no. | ΔE_f (meV/atom) |
| --- | --- |
| 1 | -72 |
| 2 | 25 |
| 3 | -43 |
| 4 | -492 |
| 5 | -529 |
| 6 | -251 |
| 7 | -95 |
| 8 | -353 |
| 9 | -115 |
| 10 | -217 |
| 11 | -280 |
| 12 | 186 |
| 13 | -234 |
| 14 | -80 |
| 15 | -265 |
| 16 | -83 |
| 17 | -379 |
| 18 | -520 |
| 19 | -279 |
| 20 | -367 |
| 21 | -305 |
| 22 | -296 |
| 23 | -330 |